Density functional theory data (PBE with a Hubbard U) for crystalline NaMn3Cr4O12 at its relaxed geometry.

Calculated values
Volume ... 10.28 Å³ per atom
Total magnetic moment ... 1.100 μB/atom
VASP energy ... -147.31 eV/cell
Density of states at the Fermi level ... 8.82 states/eV/cell
Space group ... Im-3, No. 204

a = 6.440 Å, b = 6.440 Å, c = 6.440 Å
α = 109.47°, β = 109.47°, γ = 109.47°
Atoms (fractional coordinates):
Na: 0.000 0.000 0.000
Mn: 0.000 0.500 0.500
Mn: 0.500 0.000 0.500
Mn: 0.500 0.500 0.000
Cr: 0.000 0.000 0.500
Cr: 0.000 0.500 0.000
Cr: 0.500 0.000 0.000
Cr: 0.500 0.500 0.500
O: 0.131 0.818 0.313
O: 0.182 0.313 0.495
O: 0.182 0.687 0.869
O: 0.313 0.131 0.818
O: 0.313 0.495 0.182
O: 0.495 0.182 0.313
O: 0.505 0.818 0.687
O: 0.687 0.505 0.818
O: 0.687 0.869 0.182
O: 0.818 0.313 0.131
O: 0.818 0.687 0.505
O: 0.869 0.182 0.687